Entry from Alexandria: TiFeSbO6 after structural relaxation (PBE+U).

Structure (POSCAR):
```
TiFeSbO6
1.0
5.115 0.000 0.000
-2.557 4.429 0.000
0.000 0.000 8.888
Ti Fe Sb O
2 2 2 12
Direct
0.333 0.667 0.250
0.667 0.333 0.750
0.000 0.000 0.000
0.000 0.000 0.500
0.333 0.667 0.750
0.667 0.333 0.250
0.005 0.343 0.130
0.005 0.661 0.370
0.339 0.343 0.370
0.339 0.995 0.130
0.343 0.005 0.630
0.343 0.339 0.870
0.657 0.661 0.130
0.657 0.995 0.370
0.661 0.005 0.870
0.661 0.657 0.630
0.995 0.339 0.630
0.995 0.657 0.870
```

Crystal system: trigonal
DOS at the Fermi energy (states/eV/f.u.): 0.0
SG: P-31c (163)
Volume (A^3/atom): 11.2
Distance to the lowest polymorph of the same formula (eV/f.u.): 0.00
Spin magnetization (μB per cell): 10.07



Entry from Alexandria: TiFe2SbO6 after structural relaxation (PBE+U).

Structure (POSCAR):
```
TiFe2SbO6
1.0
5.368 0.000 0.000
0.000 5.413 0.000
-5.364 0.000 7.763
Ti Fe Sb O
2 4 2 12
Direct
0.000 0.000 0.000
0.000 0.500 0.500
0.258 0.038 0.750
0.258 0.462 0.250
0.742 0.538 0.750
0.742 0.962 0.250
0.500 0.000 0.500
0.500 0.500 0.000
0.099 0.183 0.436
0.099 0.317 0.936
0.256 0.669 0.437
0.256 0.831 0.937
0.362 0.076 0.244
0.362 0.424 0.744
0.638 0.576 0.256
0.638 0.924 0.756
0.744 0.169 0.063
0.744 0.331 0.563
0.901 0.683 0.064
0.901 0.817 0.564
```

Crystal system: monoclinic
Raw total energy (eV per atom): -7.08
DOS at the Fermi energy (states/eV/f.u.): 2.7
SG: P2_1/c (14)
Volume (A^3/atom): 11.3
Spin magnetization (μB per cell): 15.99



Entry from Alexandria: TiFeSbO6 after structural relaxation (PBE+U).

Structure (POSCAR):
```
TiFeSbO6
1.0
4.721 0.000 0.000
0.000 4.721 0.000
0.000 0.000 9.028
Ti Fe Sb O
2 2 2 12
Direct
0.000 0.000 0.000
0.500 0.500 0.500
0.000 0.000 0.670
0.500 0.500 0.170
0.000 0.000 0.336
0.500 0.500 0.836
0.190 0.190 0.167
0.193 0.193 0.840
0.194 0.194 0.505
0.306 0.694 0.005
0.307 0.693 0.340
0.310 0.690 0.667
0.690 0.310 0.667
0.693 0.307 0.340
0.694 0.306 0.005
0.806 0.806 0.505
0.807 0.807 0.840
0.810 0.810 0.167
```

Crystal system: tetragonal
SG: P4_2nm (102)
Volume (A^3/atom): 11.2
Distance to the lowest polymorph of the same formula (eV/f.u.): 0.11
Spin magnetization (μB per cell): 5.99



Entry from Alexandria: Tl2FeSbO6 after structural relaxation (PBE+U).

Structure (POSCAR):
```
Tl2FeSbO6
1.0
5.615 0.000 0.000
-2.755 4.931 0.000
-2.713 -1.714 4.875
Tl Fe Sb O
2 1 1 6
Direct
0.000 0.000 0.000
0.031 0.514 0.541
0.557 0.781 0.334
0.572 0.288 0.858
0.047 0.411 0.118
0.098 0.145 0.643
0.480 0.075 0.118
0.503 0.952 0.635
0.692 0.549 0.646
0.707 0.648 0.121
```

Crystal system: triclinic
Raw total energy (eV per atom): -5.46
DOS at the Fermi energy (states/eV/f.u.): 2.3
SG: P1 (1)
Volume (A^3/atom): 13.5
Spin magnetization (μB per cell): 3.91



Entry from Alexandria: Tl2FeSbO4 after structural relaxation (PBE+U).

Structure (POSCAR):
```
Tl2FeSbO4
1.0
7.582 0.000 0.000
0.000 8.043 0.000
0.000 0.000 5.329
Tl Fe Sb O
4 2 2 8
Direct
0.220 0.183 0.000
0.280 0.817 0.500
0.720 0.817 0.500
0.780 0.183 0.000
0.000 0.417 0.486
0.500 0.583 0.986
0.000 0.683 0.014
0.500 0.317 0.514
0.000 0.445 0.121
0.000 0.639 0.640
0.212 0.307 0.560
0.288 0.693 0.060
0.500 0.361 0.140
0.500 0.555 0.621
0.712 0.693 0.060
0.788 0.307 0.560
```

Crystal system: orthorhombic
Raw total energy (eV per atom): -5.36
SG: Pmn2_1 (31)
Volume (A^3/atom): 20.3
Spin magnetization (μB per cell): 10.00



Entry from Alexandria: TmFe2SbO6 after structural relaxation (PBE+U).

Structure (POSCAR):
```
TmFe2SbO6
1.0
5.485 0.000 0.000
0.000 5.545 0.000
-5.449 0.000 7.903
Tm Fe Sb O
2 4 2 12
Direct
0.000 0.000 0.000
0.000 0.500 0.500
0.241 0.032 0.732
0.241 0.468 0.232
0.759 0.532 0.768
0.759 0.968 0.268
0.500 0.000 0.500
0.500 0.500 0.000
0.135 0.159 0.453
0.135 0.341 0.953
0.258 0.693 0.413
0.258 0.807 0.913
0.389 0.096 0.266
0.389 0.404 0.766
0.611 0.596 0.234
0.611 0.904 0.734
0.742 0.193 0.087
0.742 0.307 0.587
0.865 0.659 0.047
0.865 0.841 0.547
```

Crystal system: monoclinic
Raw total energy (eV per atom): -6.94
DOS at the Fermi energy (states/eV/f.u.): 0.0
SG: P2_1/c (14)
Volume (A^3/atom): 12.0
Spin magnetization (μB per cell): 16.00